This record from Alexandria via LeMat-Bulk describes KEu3 after structural relaxation. The functional is PBE.

Calculated values
E_tot = -31.07 eV/cell
distance to the lowest polymorph of the same formula = 0.049 eV per formula unit
symmetry = No. 123
D(E_F) = 40.4 states/eV/cell

a = 6.818 Å, b = 6.817 Å, c = 4.285 Å
α = 90.00°, β = 90.00°, γ = 90.00°
Site moments in Bohr magnetons follow the coordinates.
Fractional coordinates of all 4 atoms:
Eu1 0.500 0.500 0.167  -6.99
Eu2 0.500 0.000 0.667  6.91
Eu3 0.000 0.000 0.167  -6.99
K1 0.000 0.500 0.667  -0.02

---

This record from Alexandria via LeMat-Bulk describes AlAsRh4 after structural relaxation. The functional is PBE.

Calculated values
E_tot = -37.05 eV/cell
symmetry = No. 216
D(E_F) = 4.5 states/eV/cell

a = 5.138 Å, b = 5.138 Å, c = 5.138 Å
α = 60.00°, β = 60.00°, γ = 60.00°
Fractional coordinates of all 6 atoms:
Rh1 0.375 0.375 0.375
Rh2 0.375 0.875 0.375
Rh3 0.875 0.375 0.375
Rh4 0.375 0.375 0.875
As1 0.000 0.000 0.000
Al1 0.750 0.750 0.750

---

This record from Alexandria via LeMat-Bulk describes CoAgRu2 after structural relaxation. The functional is PBE.

Calculated values
E_tot = -50.36 eV/cell
symmetry = No. 122
D(E_F) = 11.1 states/eV/cell

a = 7.033 Å, b = 7.033 Å, c = 5.565 Å
α = 50.82°, β = 50.82°, γ = 90.00°
Site moments in Bohr magnetons follow the coordinates.
Fractional coordinates of all 8 atoms:
Co1 0.250 0.750 0.500  0.86
Co2 0.500 0.500 0.000  0.86
Ru1 0.569 0.125 0.250  0.32
Ru2 0.875 0.819 0.750  0.32
Ru3 0.375 0.431 0.750  0.32
Ru4 0.181 0.625 0.250  0.32
Ag1 0.750 0.250 0.500  0.01
Ag2 0.000 0.000 0.000  0.01

---

This record from Alexandria via LeMat-Bulk describes KCa2TlS4 after structural relaxation. The functional is PBE.

Calculated values
energy relative to the elements, uncorrected = -9.99 eV per formula unit
E_tot = -67.94 eV/cell
symmetry = No. 74

a = 8.253 Å, b = 8.253 Å, c = 8.362 Å
α = 120.43°, β = 120.43°, γ = 88.03°
Fractional coordinates of all 16 atoms:
Ca1 0.500 0.000 0.500
Ca2 0.500 0.500 0.000
Ca3 0.500 0.000 0.000
Ca4 0.000 0.000 0.500
K1 0.000 0.500 0.000
K2 0.000 0.500 0.500
S1 0.740 0.760 0.478
S2 0.757 0.202 0.979
S3 0.740 0.760 0.022
S4 0.702 0.257 0.479
S5 0.243 0.798 0.021
S6 0.298 0.743 0.521
S7 0.260 0.240 0.978
S8 0.260 0.240 0.522
Tl1 0.000 0.000 0.000
Tl2 0.500 0.500 0.500

---

This record from Alexandria via LeMat-Bulk describes GeBiN2 after structural relaxation. The functional is PBE.

Calculated values
energy relative to the elements, uncorrected = 3.36 eV per formula unit
E_tot = -21.79 eV/cell
distance to the lowest polymorph of the same formula = 1.458 eV per formula unit
symmetry = No. 166
D(E_F) = 3.0 states/eV/cell

a = 6.476 Å, b = 6.476 Å, c = 6.476 Å
α = 33.47°, β = 33.47°, γ = 33.47°
Fractional coordinates of all 4 atoms:
Bi1 0.500 0.500 0.500
N1 0.098 0.098 0.098
N2 0.902 0.902 0.902
Ge1 0.000 0.000 0.000

---

This record from Alexandria via LeMat-Bulk describes LiErAlPb after structural relaxation. The functional is PBE.

Calculated values
E_tot = -14.75 eV/cell
symmetry = No. 216
D(E_F) = 2.2 states/eV/cell

a = 5.084 Å, b = 5.084 Å, c = 5.084 Å
α = 60.00°, β = 60.00°, γ = 60.00°
Fractional coordinates of all 4 atoms:
Pb1 0.500 0.500 0.500
Li1 0.750 0.750 0.750
Al1 0.000 0.000 0.000
Er1 0.250 0.250 0.250

---

This record from Alexandria via LeMat-Bulk describes Ti4TlC after structural relaxation. The functional is PBE.

Calculated values
E_tot = -89.66 eV/cell
symmetry = No. 63
D(E_F) = 11.3 states/eV/cell

a = 4.433 Å, b = 5.957 Å, c = 7.564 Å
α = 90.00°, β = 107.04°, γ = 90.00°
Fractional coordinates of all 12 atoms:
Tl1 0.605 0.250 0.210
Tl2 0.395 0.750 0.790
Ti1 0.000 0.000 0.000
Ti2 0.204 0.996 0.408
Ti3 0.796 0.496 0.592
Ti4 0.389 0.250 0.778
Ti5 0.204 0.504 0.408
Ti6 0.611 0.750 0.222
Ti7 0.000 0.500 0.000
Ti8 0.796 0.004 0.592
C1 0.101 0.750 0.203
C2 0.899 0.250 0.797

---

This record from Alexandria via LeMat-Bulk describes Cs4PdI2 after structural relaxation. The functional is PBE.

Calculated values
energy relative to the elements, uncorrected = -5.57 eV per formula unit
E_tot = -17.28 eV/cell
distance to the lowest polymorph of the same formula = 0.251 eV per formula unit
symmetry = No. 139
D(E_F) = 0.4 states/eV/cell

a = 6.574 Å, b = 6.574 Å, c = 11.082 Å
α = 72.75°, β = 72.75°, γ = 90.00°
Fractional coordinates of all 7 atoms:
I1 0.360 0.360 0.279
I2 0.640 0.640 0.721
Cs1 0.168 0.168 0.663
Cs2 0.500 0.000 0.000
Cs3 0.000 0.500 0.000
Cs4 0.832 0.832 0.337
Pd1 0.000 0.000 0.000